Model 1:
DFT (PBE) results for an optimized crystal structure of ScUS4.

Calculated values
The symmetry is Cmmm, No. 65. As for the volume: 24.606 Å³/atom.

Lattice parameters (Å, degrees): 3.9673 6.1010 6.1010 91.28 90.00 90.00
Site moments in Bohr magnetons follow the coordinates.
Fractional coordinates of all 6 atoms:
Sc  0.5000  0.0000  0.0000  -0.01
S  0.5000  0.6971  0.3029  -0.05
S  0.0000  0.8054  0.8054  -0.04
S  0.5000  0.3029  0.6971  -0.05
S  0.0000  0.1946  0.1946  -0.04
U  0.0000  0.5000  0.5000  1.19

=====

Model 2:
DFT (PBE) results for an optimized crystal structure of ScUS4.

Calculated values
The symmetry is C2/m, No. 12. As for the volume: 27.801 Å³/atom.

Lattice parameters (Å, degrees): 3.9001 7.4289 6.5624 113.69 90.00 105.22
Site moments in Bohr magnetons follow the coordinates.
Fractional coordinates of all 6 atoms:
Sc  0.0000  0.0000  0.0000  0.00
S  0.8923  0.7846  0.2339  -0.04
S  0.3959  0.7919  0.7380  -0.04
S  0.6041  0.2081  0.2620  -0.04
U  0.5000  0.0000  0.5000  1.16
S  0.1077  0.2154  0.7661  -0.04

=====

Among the structures shown above, model 2 is the most stable, with the second-best lying 0.097 eV/atom higher.